(1)
A relaxed structure of K2PuPt3O12. Source: Alexandria, functional GGA-PBE.

Calculated values
ΔE_f (raw) = -1937 kJ/mol of formula units
Electronic total energy = -342.672 eV/cell
Magnetization = 1.307 Bohr magnetons per cell
N(E_F) = 23.75 states/eV/cell
Theoretical density = 6.56 g cm⁻³
V = 278.5 Å³/f.u.

```
data_K2PuPt3O12
_symmetry_space_group_name_H-M 'R -3 m'
_symmetry_Int_Tables_number 166
_symmetry_space_group_name_Hall '-R 3 2"'
_cell_length_a 7.1912
_cell_length_b 7.1912
_cell_length_c 18.6538
_cell_angle_alpha 90.00
_cell_angle_beta 90.00
_cell_angle_gamma 120.00
loop_
_atom_site_label
_atom_site_type_symbol
_atom_site_fract_x
_atom_site_fract_y
_atom_site_fract_z
K1 K 0.0000 0.0000 0.1146
Pu1 Pu 0.0000 0.0000 0.5000
Pt1 Pt 0.0000 0.5000 0.0000
O1 O 0.0607 0.5304 0.3589
O2 O 0.0689 0.5345 0.1050
```

=====

(2)
A relaxed structure of KPu2PtO8. Source: Alexandria, functional GGA-PBE.

Calculated values
ΔE_f (raw) = -2175 kJ/mol of formula units
Electronic total energy = -196.024 eV/cell
Magnetization = 10.000 Bohr magnetons per cell
N(E_F) = 11.38 states/eV/cell
Theoretical density = 8.15 g cm⁻³
V = 173.2 Å³/f.u.

```
data_KPu2PtO8
_symmetry_space_group_name_H-M 'C 1 2/m 1'
_symmetry_Int_Tables_number 12
_cell_length_a 7.203
_cell_length_b 6.930
_cell_length_c 6.945
_cell_angle_alpha 90.00
_cell_angle_beta 92.17
_cell_angle_gamma 90.00
loop_
_symmetry_equiv_pos_as_xyz
'x,y,z'
'-x,-y,-z'
'-x,y,-z'
'x,-y,z'
'x+1/2,y+1/2,z'
'-x+1/2,-y+1/2,-z'
'-x+1/2,y+1/2,-z'
'x+1/2,-y+1/2,z'
loop_
_atom_site_label
_atom_site_type_symbol
_atom_site_fract_x
_atom_site_fract_y
_atom_site_fract_z
K1 K 0.000 0.000 0.000
Pu1 Pu 0.010 0.500 0.256
Pt1 Pt 0.000 0.000 0.500
O1 O 0.008 0.212 0.703
O2 O 0.163 0.500 0.983
O3 O 0.210 0.500 0.496
```

=====

(3)
A relaxed structure of KRbPtO2. Source: Alexandria, functional GGA-PBE.

Calculated values
ΔE_f (raw) = -418 kJ/mol of formula units
Electronic total energy = -44.705 eV/cell
Magnetization = 0.000 Bohr magnetons per cell
N(E_F) = 0.35 states/eV/cell
Theoretical density = 4.98 g cm⁻³
V = 117.3 Å³/f.u.

```
data_KRbPtO2
_symmetry_space_group_name_H-M 'P m m a'
_symmetry_Int_Tables_number 51
_cell_length_a 6.213
_cell_length_b 6.701
_cell_length_c 5.633
_cell_angle_alpha 90.00
_cell_angle_beta 90.00
_cell_angle_gamma 90.00
loop_
_symmetry_equiv_pos_as_xyz
'x,y,z'
'-x,-y,-z'
'-x+1/2,-y,z'
'x+1/2,y,-z'
'x+1/2,-y,-z'
'-x+1/2,y,z'
'-x,y,-z'
'x,-y,z'
loop_
_atom_site_label
_atom_site_type_symbol
_atom_site_fract_x
_atom_site_fract_y
_atom_site_fract_z
K1 K 0.250 0.000 0.006
Rb1 Rb 0.250 0.500 0.696
Pt1 Pt 0.000 0.000 0.500
O1 O 0.250 0.193 0.405
```

=====

(4)
A relaxed structure of KRb2PtO2. Source: Alexandria, functional GGA-PBE.

Calculated values
ΔE_f (raw) = -533 kJ/mol of formula units
Electronic total energy = -49.030 eV/cell
Magnetization = 2.010 Bohr magnetons per cell
N(E_F) = 12.99 states/eV/cell
Theoretical density = 4.75 g cm⁻³
V = 152.8 Å³/f.u.

```
data_KRb2PtO2
_symmetry_space_group_name_H-M 'P n n m'
_symmetry_Int_Tables_number 58
_cell_length_a 6.080
_cell_length_b 11.275
_cell_length_c 4.457
_cell_angle_alpha 90.00
_cell_angle_beta 90.00
_cell_angle_gamma 90.00
loop_
_symmetry_equiv_pos_as_xyz
'x,y,z'
'-x,-y,-z'
'-x,-y,z'
'x,y,-z'
'x+1/2,-y+1/2,-z+1/2'
'-x+1/2,y+1/2,z+1/2'
'-x+1/2,y+1/2,-z+1/2'
'x+1/2,-y+1/2,z+1/2'
loop_
_atom_site_label
_atom_site_type_symbol
_atom_site_fract_x
_atom_site_fract_y
_atom_site_fract_z
K1 K 0.000 0.000 0.000
Rb1 Rb 0.092 0.270 0.500
Pt1 Pt 0.000 0.500 0.000
O1 O 0.244 0.894 0.500
```

=====

(5)
A relaxed structure of K2RbPtO4. Source: Alexandria, functional GGA-PBE.

Calculated values
ΔE_f (raw) = -834 kJ/mol of formula units
Electronic total energy = -75.361 eV/cell
Magnetization = 6.042 Bohr magnetons per cell
N(E_F) = 1.69 states/eV/cell
Theoretical density = 4.49 g cm⁻³
V = 156.2 Å³/f.u.

```
data_K2RbPtO4
_symmetry_space_group_name_H-M 'I -4 m 2'
_symmetry_Int_Tables_number 119
_symmetry_space_group_name_Hall 'I -4 -2'
_cell_length_a 6.486
_cell_length_b 6.486
_cell_length_c 7.428
_cell_angle_alpha 90.00
_cell_angle_beta 90.00
_cell_angle_gamma 90.00
loop_
_atom_site_label
_atom_site_type_symbol
_atom_site_fract_x
_atom_site_fract_y
_atom_site_fract_z
K1 K 0.000 0.000 0.000
K2 K 0.000 0.500 0.250
Rb1 Rb 0.000 0.000 0.500
Pt1 Pt 0.000 0.500 0.750
O1 O 0.209 0.291 0.750
```

=====

(6)
A relaxed structure of KRe2PtO8. Source: Alexandria, functional GGA-PBE.

Calculated values
ΔE_f (raw) = -1578 kJ/mol of formula units
Electronic total energy = -176.113 eV/cell
Magnetization = 2.075 Bohr magnetons per cell
N(E_F) = 5.79 states/eV/cell
Theoretical density = 5.22 g cm⁻³
V = 233.5 Å³/f.u.

```
data_KRe2PtO8
_symmetry_space_group_name_H-M 'C 1 2/m 1'
_symmetry_Int_Tables_number 12
_cell_length_a 8.933
_cell_length_b 6.484
_cell_length_c 8.124
_cell_angle_alpha 90.00
_cell_angle_beta 96.96
_cell_angle_gamma 90.00
loop_
_symmetry_equiv_pos_as_xyz
'x,y,z'
'-x,-y,-z'
'-x,y,-z'
'x,-y,z'
'x+1/2,y+1/2,z'
'-x+1/2,-y+1/2,-z'
'-x+1/2,y+1/2,-z'
'x+1/2,-y+1/2,z'
loop_
_atom_site_label
_atom_site_type_symbol
_atom_site_fract_x
_atom_site_fract_y
_atom_site_fract_z
K1 K 0.000 0.000 0.000
Re1 Re 0.131 0.500 0.261
Pt1 Pt 0.000 0.000 0.500
O1 O 0.020 0.276 0.274
O2 O 0.205 0.500 0.071
O3 O 0.222 0.000 0.570
```

=====

(7)
A relaxed structure of K2PtRh2O6. Source: Alexandria, functional GGA-PBE.

Calculated values
ΔE_f (raw) = -1039 kJ/mol of formula units
Electronic total energy = -126.914 eV/cell
Magnetization = 0.000 Bohr magnetons per cell
Theoretical density = 6.07 g cm⁻³
V = 157.4 Å³/f.u.

```
data_K2PtRh2O6
_symmetry_space_group_name_H-M 'C 1 2/m 1'
_symmetry_Int_Tables_number 12
_cell_length_a 5.513
_cell_length_b 9.551
_cell_length_c 6.269
_cell_angle_alpha 90.00
_cell_angle_beta 107.52
_cell_angle_gamma 90.00
loop_
_symmetry_equiv_pos_as_xyz
'x,y,z'
'-x,-y,-z'
'-x,y,-z'
'x,-y,z'
'x+1/2,y+1/2,z'
'-x+1/2,-y+1/2,-z'
'-x+1/2,y+1/2,-z'
'x+1/2,-y+1/2,z'
loop_
_atom_site_label
_atom_site_type_symbol
_atom_site_fract_x
_atom_site_fract_y
_atom_site_fract_z
K1 K 0.000 0.169 0.000
Pt1 Pt 0.000 0.000 0.500
Rh1 Rh 0.000 0.334 0.500
O1 O 0.222 0.166 0.665
O2 O 0.225 0.500 0.665
```

=====

(8)
A relaxed structure of K3PtRh2O6. Source: Alexandria, functional GGA-PBE.

Calculated values
ΔE_f (raw) = -1073 kJ/mol of formula units
Electronic total energy = -129.814 eV/cell
Magnetization = 2.020 Bohr magnetons per cell
N(E_F) = 0.13 states/eV/cell
Theoretical density = 6.25 g cm⁻³
V = 163.1 Å³/f.u.

```
data_K3PtRh2O6
_symmetry_space_group_name_H-M 'C 1 2/m 1'
_symmetry_Int_Tables_number 12
_cell_length_a 5.879
_cell_length_b 9.717
_cell_length_c 6.067
_cell_angle_alpha 90.00
_cell_angle_beta 109.76
_cell_angle_gamma 90.00
loop_
_symmetry_equiv_pos_as_xyz
'x,y,z'
'-x,-y,-z'
'-x,y,-z'
'x,-y,z'
'x+1/2,y+1/2,z'
'-x+1/2,-y+1/2,-z'
'-x+1/2,y+1/2,-z'
'x+1/2,-y+1/2,z'
loop_
_atom_site_label
_atom_site_type_symbol
_atom_site_fract_x
_atom_site_fract_y
_atom_site_fract_z
K1 K 0.000 0.000 0.000
K2 K 0.000 0.333 0.000
Pt1 Pt 0.000 0.500 0.500
Rh1 Rh 0.000 0.166 0.500
O1 O 0.199 0.000 0.679
O2 O 0.227 0.336 0.662
```